VASP calculation (GGA-PBE) on Mg3NbCo after structural relaxation.

## Properties
Its formation energy is 0.77 eV/atom. Its energy above the most stable polymorph in this dataset is 0.0 meV/atom. For the total moment, the calculation gives 0.0 μB per formula unit.

Cell: 4.6026 4.6026 4.6026 Å, 90.00 90.00 90.00°
With the nearest neighbours (Å) after each atom.
Atoms (fractional coordinates):
Nb  0.5000  0.5000  0.5000  12 Mg 3.25
Co  0.0000  0.0000  0.0000  6 Mg 2.30
Mg  0.0000  0.5000  0.0000  2 Co 2.30
Mg  0.0000  0.0000  0.5000  2 Co 2.30
Mg  0.5000  0.0000  0.0000  2 Co 2.30

***

VASP calculation (GGA-PBE) on Ac2ErSi3Pd4 after structural relaxation.

## Properties
For the total moment, the calculation gives 0.0 μB per formula unit. The uncorrected energy is -5.8382 eV/atom.

Cell: 4.3861 4.3861 10.9315 Å, 90.00 90.00 90.00°
With the nearest neighbours (Å) after each atom.
Atoms (fractional coordinates):
Ac  0.5000  0.0000  0.2309  8 Pd 3.34, 6 Si 3.35-3.67, 2 Er 3.67
Ac  0.0000  0.5000  0.7691  8 Pd 3.34, 6 Si 3.35-3.67, 2 Er 3.67
Er  0.5000  0.5000  0.5000  4 Pd 2.78, 4 Si 3.10
Si  0.0000  0.0000  0.5000  4 Pd 2.78, 4 Er 3.10
Si  0.5000  0.0000  0.8847  5 Pd 2.50-2.53
Si  0.0000  0.5000  0.1153  5 Pd 2.50-2.53
Pd  0.5000  0.5000  0.0000  4 Si 2.53
Pd  0.0000  0.0000  0.0000  4 Si 2.53
Pd  0.5000  0.0000  0.6559  3 Si 2.50-2.78, 2 Er 2.78
Pd  0.0000  0.5000  0.3441  3 Si 2.50-2.78, 2 Er 2.78

***

VASP calculation (GGA-PBE) on BiRuSe2Br after structural relaxation.

## Properties
Its energy above the most stable polymorph in this dataset is 0.0 meV/atom. For the total moment, the calculation gives 0.0 μB per formula unit.

Cell: 4.9077 4.9077 5.0294 Å, 90.00 90.00 90.00°
With the nearest neighbours (Å) after each atom.
Atoms (fractional coordinates):
Ru  0.0000  0.0000  0.0000  4 Se 2.45, 2 Br 2.51
Se  0.0000  0.5000  0.0000  2 Ru 2.45
Se  0.5000  0.0000  0.0000  2 Ru 2.45
Bi  0.5000  0.5000  0.5000  4 Br 3.47, 8 Se 3.51
Br  0.0000  0.0000  0.5000  2 Ru 2.51

***

VASP calculation (GGA-PBE) on NdY2Tm after structural relaxation.

## Properties
Its formation energy is 0.01 eV/atom. Its energy above the most stable polymorph in this dataset is 3.9 meV/atom. For the total moment, the calculation gives 0.0 μB per formula unit.

Cell: 3.6581 6.7669 6.7662 Å, 114.89 105.66 105.68°
With the nearest neighbours (Å) after each atom.
Atoms (fractional coordinates):
Nd  0.3314  0.5881  0.9580  3 Tm 3.53-3.56, 7 Y 3.53-3.65, 2 Nd 3.66
Y  0.3333  0.0938  0.4562  3 Tm 3.52-3.57, 5 Y 3.54-3.66, 4 Nd 3.63-3.65
Y  0.6687  0.6788  0.5433  3 Nd 3.53-3.56, 5 Y 3.54-3.66, 4 Tm 3.63-3.65
Tm  0.6666  0.1752  0.0426  7 Y 3.52-3.65, 3 Nd 3.53-3.56, 2 Tm 3.66

***

VASP calculation (GGA-PBE) on Nd2YHo8 after structural relaxation.

## Properties
Its formation energy is 0.17 eV/atom. Its energy above the most stable polymorph in this dataset is 15.3 meV/atom. For the total moment, the calculation gives 0.0 μB per formula unit.

Cell: 6.6186 6.6467 8.9165 Å, 99.20 111.79 90.00°
With the nearest neighbours (Å) after each atom.
Atoms (fractional coordinates):
Nd  0.7551  0.6887  0.5101  9 Ho 3.28-3.55
Nd  0.2449  0.3113  0.4899  9 Ho 3.28-3.55
Y  0.0000  0.0000  0.0000  4 Ho 3.30
Ho  0.8261  0.4026  0.1742  4 Ho 3.16-3.46, 2 Nd 3.28-3.47, 1 Y 3.30
Ho  0.6518  0.5974  0.8258  4 Ho 3.16-3.46, 2 Nd 3.28-3.47, 1 Y 3.30
Ho  0.8000  0.1970  0.6001  4 Nd 3.33-3.55, 3 Ho 3.44-3.70
Ho  0.2000  0.8030  0.3999  4 Nd 3.33-3.55, 3 Ho 3.44-3.70
Ho  0.3482  0.4026  0.1742  4 Ho 3.16-3.46, 2 Nd 3.28-3.47, 1 Y 3.30
Ho  0.1739  0.5974  0.8258  4 Ho 3.16-3.46, 2 Nd 3.28-3.47, 1 Y 3.30
Ho  0.5884  0.9050  0.1768  1 Nd 3.32, 8 Ho 3.38-3.70, 2 Y 3.72
Ho  0.4116  0.0950  0.8232  1 Nd 3.32, 8 Ho 3.38-3.70, 2 Y 3.72

***

VASP calculation (GGA-PBE) on TlRe2Mo after structural relaxation.

## Properties
Its formation energy is 0.75 eV/atom. Its energy above the most stable polymorph in this dataset is 267.1 meV/atom. For the total moment, the calculation gives 0.0 μB per formula unit.

Cell: 5.3837 5.3837 5.3837 Å, 145.16 130.53 61.93°
With the nearest neighbours (Å) after each atom.
Atoms (fractional coordinates):
Mo  0.2405  0.7405  0.5000  6 Re 2.77-2.78, 2 Tl 2.91
Re  0.9965  0.9965  0.0000  2 Re 2.71, 2 Mo 2.77, 4 Tl 2.77
Re  0.7605  0.2605  0.5000  2 Re 2.71, 4 Mo 2.78, 2 Tl 2.88
Tl  0.5024  0.5024  0.0000  6 Re 2.77-2.88, 2 Mo 2.91

***

VASP calculation (GGA-PBE) on Ho4AgPt2 after structural relaxation.

## Properties
Its formation energy is -0.84 eV/atom. Its energy above the most stable polymorph in this dataset is 0.0 meV/atom. For the total moment, the calculation gives 0.0 μB per formula unit.

Cell: 6.9563 7.0342 8.3989 Å, 108.06 107.71 105.20°
With the nearest neighbours (Å) after each atom.
Atoms (fractional coordinates):
Ho  0.9894  0.2481  0.3780  3 Pt 2.84-2.92, 1 Ag 2.94
Ho  0.4247  0.4767  0.2557  4 Pt 2.87-3.03
Ho  0.8844  0.6507  0.6784  3 Pt 2.85-2.96, 1 Ag 2.96
Ho  0.7305  0.1502  0.7206  4 Pt 2.83-3.15, 1 Ag 3.05
Ho  0.4191  0.9711  0.2443  4 Pt 2.87-3.03
Ho  0.2599  0.1795  0.7796  4 Pt 2.83-3.15, 1 Ag 3.05
Ho  0.4558  0.7220  0.8213  3 Pt 2.85-2.96, 1 Ag 2.96
Ho  0.8613  0.6201  0.1221  3 Pt 2.84-2.92, 1 Ag 2.94
Ag  0.2174  0.7656  0.4859  7 Ho 2.94-3.28, 1 Pt 3.12
Ag  0.9813  0.0292  0.0140  7 Ho 2.94-3.28, 1 Pt 3.12
Pt  0.4554  0.3369  0.5570  7 Ho 2.85-2.96
Pt  0.8047  0.8787  0.4374  7 Ho 2.83-3.15, 1 Ag 3.12
Pt  0.6176  0.1913  0.0626  7 Ho 2.83-3.15, 1 Ag 3.12
Pt  0.1484  0.5299  0.9431  7 Ho 2.85-2.96

***

VASP calculation (GGA-PBE) on MgI4N2 after structural relaxation.

## Properties
For the total moment, the calculation gives 0.0 μB per formula unit. The uncorrected energy is -2.9207 eV/atom.

Cell: 4.1981 8.0940 7.9130 Å, 60.48 105.38 90.01°
With the nearest neighbours (Å) after each atom.
Atoms (fractional coordinates):
Mg  0.0000  0.0000  0.0000  6 I 2.90-3.09
I  0.1529  0.5615  0.3057  3 N 2.05-2.21
I  0.8471  0.4385  0.6943  3 N 2.05-2.21
I  0.4167  0.8726  0.8337  2 Mg 2.90
I  0.5833  0.1274  0.1663  2 Mg 2.90
N  0.3094  0.4165  0.6188  3 I 2.05-2.21
N  0.6906  0.5835  0.3812  3 I 2.05-2.21

***

VASP calculation (GGA-PBE) on PmIn2Si2Au7 after structural relaxation.

## Properties
For the total moment, the calculation gives 0.0 μB per formula unit. The uncorrected energy is -3.8954 eV/atom.

Cell: 4.6197 4.6197 12.6750 Å, 90.46 90.46 98.64°
With the nearest neighbours (Å) after each atom.
Atoms (fractional coordinates):
Pm  0.0000  0.0000  0.0000  10 Au 3.01-3.27
In  0.8522  0.8522  0.3741  4 Au 2.82-3.07
In  0.1478  0.1478  0.6259  4 Au 2.82-3.07
Si  0.6571  0.6571  0.7687  5 Au 2.40-2.60
Si  0.3429  0.3429  0.2313  5 Au 2.40-2.60
Au  0.5000  0.5000  0.0000  4 Au 2.84, 2 Pm 3.01, 2 Si 3.09
Au  0.3301  0.3301  0.4217  1 Si 2.42
Au  0.6699  0.6699  0.5783  1 Si 2.42
Au  0.8850  0.4787  0.1746  2 Si 2.40-2.60
Au  0.4787  0.8850  0.1746  2 Si 2.40-2.60
Au  0.5213  0.1150  0.8254  2 Si 2.40-2.60
Au  0.1150  0.5213  0.8254  2 Si 2.40-2.60

***

VASP calculation (GGA-PBE) on ThZrSnAu after structural relaxation.

## Properties
Its formation energy is -0.38 eV/atom. For the total moment, the calculation gives 0.7 μB per formula unit.

Cell: 5.1894 5.1894 5.1894 Å, 60.00 60.00 60.00°
With the nearest neighbours (Å) after each atom.
Atoms (fractional coordinates):
Zr  0.5000  0.5000  0.5000  4 Sn 3.18, 4 Au 3.18
Au  0.2500  0.2500  0.2500  4 Zr 3.18, 4 Th 3.18
Sn  0.7500  0.7500  0.7500  4 Zr 3.18, 4 Th 3.18
Th  0.0000  0.0000  0.0000  4 Au 3.18, 4 Sn 3.18

***

VASP calculation (GGA-PBE) on Cs4In3GaBr12 after structural relaxation.

## Properties
For the total moment, the calculation gives 0.0 μB per formula unit. The uncorrected energy is -2.9228 eV/atom.

Cell: 9.8942 9.8942 9.8942 Å, 109.47 109.47 109.47°
With the nearest neighbours (Å) after each atom.
Atoms (fractional coordinates):
Cs  0.5000  0.5000  0.5000  12 Br 4.04
Cs  0.0000  0.0000  0.5000  12 Br 4.04
Cs  0.5000  0.0000  0.0000  12 Br 4.04
Cs  0.0000  0.5000  0.0000  12 Br 4.04
In  0.5000  0.0000  0.5000  6 Br 2.82-2.86
In  0.5000  0.5000  0.0000  6 Br 2.82-2.86
In  0.0000  0.5000  0.5000  6 Br 2.82-2.86
Ga  0.0000  0.0000  0.0000  6 Br 2.89
Br  0.2500  0.5000  0.7500  2 In 2.86
Br  0.7467  0.0000  0.7467  1 In 2.82, 1 Ga 2.89
Br  0.2533  0.0000  0.2533  1 In 2.82, 1 Ga 2.89
Br  0.7500  0.5000  0.2500  2 In 2.86
Br  0.7467  0.7467  0.0000  1 In 2.82, 1 Ga 2.89
Br  0.2533  0.2533  0.0000  1 In 2.82, 1 Ga 2.89
Br  0.7500  0.2500  0.5000  2 In 2.86
Br  0.2500  0.7500  0.5000  2 In 2.86
Br  0.5000  0.2500  0.7500  2 In 2.86
Br  0.0000  0.7467  0.7467  1 In 2.82, 1 Ga 2.89
Br  0.5000  0.7500  0.2500  2 In 2.86
Br  0.0000  0.2533  0.2533  1 In 2.82, 1 Ga 2.89